[1]
DFT (GGA-PBE) results for a geometry-optimized CuRu4I2 structure.

Summary:
The value obtained for the uncorrected formation energy is 1.46 eV/atom.

Cell: 4.6130 4.6130 7.4151 Å, 71.88 71.88 90.00°
Sites, in units of the cell vectors:
Ru  0.1868  0.1868  0.6265
Ru  0.5000  0.0000  0.0000
Ru  0.0000  0.5000  0.0000
Ru  0.8132  0.8132  0.3735
I  0.3771  0.3771  0.2459
I  0.6229  0.6229  0.7541
Cu  0.0000  0.0000  0.0000

---

[2]
DFT (GGA-PBE) results for a geometry-optimized CuRuI structure.

Summary:
Its polymorph energy (0 for the lowest one) is 46 meV/atom. The value obtained for the uncorrected formation energy is 0.32 eV/atom.

Cell: 10.8916 3.8783 6.7153 Å, 90.00 101.70 90.00°
Sites, in units of the cell vectors:
Cu  0.1393  0.0000  0.8126
Cu  0.0459  0.0000  0.1152
Cu  0.1393  0.5000  0.3126
Cu  0.0459  0.5000  0.6152
Ru  0.2738  0.0000  0.5234
Ru  0.3709  0.0000  0.8887
Ru  0.3709  0.5000  0.3887
Ru  0.2738  0.5000  0.0234
I  0.5289  0.0000  0.2740
I  0.8960  0.0000  0.7327
I  0.8960  0.5000  0.2327
I  0.5289  0.5000  0.7740

---

| no. | VASP energy (eV/atom) |
| --- | --- |
| 1 | -4.87 |
| 2 | -4.65 |